Entry 1:
Compound: Cd3NiCl8
Source: Alexandria
Functional: PBE
Structure: optimized geometry

Output
theoretical density: 3.5 g/cm3
raw formation energy: -0.94 eV per atom
magnetization: 2.053 μB/f.u.

CIF file:
```
data_Cd3NiCl8
_chemical_formula_sum 'Cd6 Ni2 Cl16'
_cell_length_a 13.204
_cell_length_b 7.624
_cell_length_c 7.872
_cell_angle_alpha 90.00
_cell_angle_beta 124.64
_cell_angle_gamma 90.00
_symmetry_space_group_name_H-M 'C 1 2/m 1'
_symmetry_Int_Tables_number 12
_symmetry_space_group_name_Hall '-C 2y'
loop_
_atom_site_label
_atom_site_type_symbol
_atom_site_fract_x
_atom_site_fract_y
_atom_site_fract_z
_atom_site_occupancy
Cd1 Cd 0.000 0.000 0.000 1
Cd2 Cd 0.250 0.250 0.000 1
Ni1 Ni 0.000 0.500 0.000 1
Cl1 Cl 0.004 0.270 0.787 1
Cl2 Cl 0.225 0.500 0.213 1
Cl3 Cl 0.244 0.000 0.227 1
```



Entry 2:
Compound: LaTbTm2Te6
Source: Alexandria
Functional: PBE
Structure: optimized geometry

Output
theoretical density: 6.3 g/cm3
raw formation energy: -1.38 eV per atom
magnetization: 0.000 μB/f.u.

CIF file:
```
data_LaTbTm2Te6
_chemical_formula_sum 'La3 Tb3 Tm6 Te18'
_cell_length_a 7.7890
_cell_length_b 7.7890
_cell_length_c 20.9830
_cell_angle_alpha 90.00
_cell_angle_beta 90.00
_cell_angle_gamma 120.00
_symmetry_space_group_name_H-M 'R 3'
_symmetry_Int_Tables_number 146
_symmetry_space_group_name_Hall 'R 3'
loop_
_atom_site_label
_atom_site_type_symbol
_atom_site_fract_x
_atom_site_fract_y
_atom_site_fract_z
_atom_site_occupancy
La1 La 0.0000 0.0000 0.0000 1
Tb1 Tb 0.0000 0.0000 0.4949 1
Tm1 Tm 0.0000 0.0000 0.3056 1
Tm2 Tm 0.0000 0.0000 0.8085 1
Te1 Te 0.0116 0.3203 0.8972 1
Te2 Te 0.0147 0.6365 0.0648 1
```



Entry 3:
Compound: TlAgRh4
Source: Alexandria
Functional: PBE
Structure: optimized geometry

Output
theoretical density: 11.9 g/cm3
ΔE_f: 309 meV/atom
magnetization: 0.758 μB/f.u.

CIF file:
```
data_TlAgRh4
_chemical_formula_sum 'Tl4 Ag4 Rh16'
_cell_length_a 7.393
_cell_length_b 7.393
_cell_length_c 7.393
_cell_angle_alpha 90.00
_cell_angle_beta 90.00
_cell_angle_gamma 90.00
_symmetry_space_group_name_H-M 'F -4 3 m'
_symmetry_Int_Tables_number 216
_symmetry_space_group_name_Hall 'F -4 2 3'
loop_
_atom_site_label
_atom_site_type_symbol
_atom_site_fract_x
_atom_site_fract_y
_atom_site_fract_z
_atom_site_occupancy
Tl1 Tl 0.000 0.000 0.000 1
Ag1 Ag 0.250 0.250 0.750 1
Rh1 Rh 0.125 0.125 0.375 1
```



Entry 4:
Compound: Ba2Be2Pb
Source: Alexandria
Functional: PBE
Structure: optimized geometry

Output
theoretical density: 5.7 g/cm3
ΔE_f: 373 meV/atom
energy above the most stable polymorph in this dataset: 0 meV/atom
magnetization: 0.000 μB/f.u.

CIF file:
```
data_Ba2Be2Pb
_chemical_formula_sum 'Ba4 Be4 Pb2'
_cell_length_a 3.594
_cell_length_b 3.594
_cell_length_c 22.361
_cell_angle_alpha 90.00
_cell_angle_beta 90.00
_cell_angle_gamma 90.00
_symmetry_space_group_name_H-M 'I 4/m m m'
_symmetry_Int_Tables_number 139
_symmetry_space_group_name_Hall '-I 4 2'
loop_
_atom_site_label
_atom_site_type_symbol
_atom_site_fract_x
_atom_site_fract_y
_atom_site_fract_z
_atom_site_occupancy
Ba1 Ba 0.000 0.000 0.117 1
Be1 Be 0.000 0.500 0.250 1
Pb1 Pb 0.000 0.000 0.500 1
```



Entry 5:
Compound: MgZnInBr5
Source: Alexandria
Functional: PBE
Structure: optimized geometry

Output
theoretical density: 3.9 g/cm3
raw formation energy: -1.02 eV per atom
magnetization: 0.000 μB/f.u.

CIF file:
```
data_MgZnInBr5
_chemical_formula_sum 'Mg4 Zn4 In4 Br20'
_cell_length_a 9.273
_cell_length_b 12.144
_cell_length_c 9.815
_cell_angle_alpha 90.00
_cell_angle_beta 113.10
_cell_angle_gamma 90.00
_symmetry_space_group_name_H-M 'C 1 2/c 1'
_symmetry_Int_Tables_number 15
_symmetry_space_group_name_Hall '-C 2yc'
loop_
_atom_site_label
_atom_site_type_symbol
_atom_site_fract_x
_atom_site_fract_y
_atom_site_fract_z
_atom_site_occupancy
Mg1 Mg 0.000 0.000 0.000 1
Zn1 Zn 0.000 0.315 0.250 1
In1 In 0.000 0.342 0.750 1
Br1 Br 0.000 0.074 0.750 1
Br2 Br 0.114 0.204 0.108 1
Br3 Br 0.192 0.432 0.439 1
```



Entry 6:
Compound: TmMgPaTc
Source: Alexandria
Functional: PBE
Structure: optimized geometry

Output
theoretical density: 9.9 g/cm3
ΔE_f: 73 meV/atom
magnetization: 0.000 μB/f.u.

CIF file:
```
data_TmMgPaTc
_chemical_formula_sum 'Tm4 Mg4 Pa4 Tc4'
_cell_length_a 7.061
_cell_length_b 7.061
_cell_length_c 7.061
_cell_angle_alpha 90.00
_cell_angle_beta 90.00
_cell_angle_gamma 90.00
_symmetry_space_group_name_H-M 'F -4 3 m'
_symmetry_Int_Tables_number 216
_symmetry_space_group_name_Hall 'F -4 2 3'
loop_
_atom_site_label
_atom_site_type_symbol
_atom_site_fract_x
_atom_site_fract_y
_atom_site_fract_z
_atom_site_occupancy
Tm1 Tm 0.000 0.000 0.000 1
Mg1 Mg 0.250 0.250 0.750 1
Pa1 Pa 0.000 0.000 0.500 1
Tc1 Tc 0.250 0.250 0.250 1
```



Entry 7:
Compound: CaPrSn
Source: Alexandria
Functional: PBE
Structure: optimized geometry

Output
theoretical density: 5.0 g/cm3
ΔE_f: -362 meV/atom
magnetization: 0.000 μB/f.u.

CIF file:
```
data_CaPrSn
_chemical_formula_sum 'Ca2 Pr2 Sn2'
_cell_length_a 3.537
_cell_length_b 3.633
_cell_length_c 15.546
_cell_angle_alpha 90.00
_cell_angle_beta 90.00
_cell_angle_gamma 90.00
_symmetry_space_group_name_H-M 'P m m m'
_symmetry_Int_Tables_number 47
_symmetry_space_group_name_Hall '-P 2 2'
loop_
_atom_site_label
_atom_site_type_symbol
_atom_site_fract_x
_atom_site_fract_y
_atom_site_fract_z
_atom_site_occupancy
Ca1 Ca 0.000 0.000 0.137 1
Pr1 Pr 0.000 0.500 0.362 1
Sn1 Sn 0.500 0.000 0.500 1
Sn2 Sn 0.500 0.500 0.000 1
```



Entry 8:
Compound: Ac3ErIn2
Source: Alexandria
Functional: PBE
Structure: optimized geometry

Output
theoretical density: 8.1 g/cm3
ΔE_f: -259 meV/atom
magnetization: 0.001 μB/f.u.

CIF file:
```
data_Ac3ErIn2
_chemical_formula_sum 'Ac6 Er2 In4'
_cell_length_a 4.922
_cell_length_b 5.108
_cell_length_c 17.673
_cell_angle_alpha 90.00
_cell_angle_beta 90.00
_cell_angle_gamma 90.00
_symmetry_space_group_name_H-M 'I m m m'
_symmetry_Int_Tables_number 71
_symmetry_space_group_name_Hall '-I 2 2'
loop_
_atom_site_label
_atom_site_type_symbol
_atom_site_fract_x
_atom_site_fract_y
_atom_site_fract_z
_atom_site_occupancy
Ac1 Ac 0.000 0.000 0.000 1
Ac2 Ac 0.000 0.500 0.323 1
Er1 Er 0.000 0.000 0.500 1
In1 In 0.000 0.500 0.130 1
```



no.,total energy (eV per atom)
1,-2.8860
2,-5.1167
3,-5.4615
4,-2.6279
5,-2.7639
6,-6.4092
7,-3.9567
8,-3.9865